Entry 1:
Th4Cd2In GGA-PBE optimized geometry; volume = 30.796 A^3/atom; E_tot = -4.834 eV/atom
1.0
5.8798 0.0000 0.0000
0.0000 10.4200 0.0000
-0.0432 0.0000 7.0372
Th Cd In
8 4 2
direct
0.0894 0.2172 0.0235
0.0894 0.2828 0.5235
0.3959 0.7107 0.1743
0.3959 0.7893 0.6743
0.6041 0.2107 0.3257
0.6041 0.2893 0.8257
0.9106 0.7171 0.4765
0.9106 0.7829 0.9765
0.1486 0.5132 0.8318
0.1486 0.9868 0.3318
0.8514 0.0132 0.6682
0.8514 0.4868 0.1682
0.5000 0.0000 0.0000
0.5000 0.5000 0.5000

=====

Entry 2:
Th5Cd3In3 GGA-PBE optimized geometry; volume = 29.384 A^3/atom; E_tot = -4.155 eV/atom
1.0
10.5938 0.0000 0.0000
-5.2969 9.1745 0.0000
0.0000 0.0000 3.3256
Th Cd In
5 3 3
direct
0.0000 0.6461 0.0000
0.3333 0.6667 0.0000
0.3539 0.3539 0.0000
0.6461 0.0000 0.0000
0.6667 0.3333 0.0000
0.0000 0.1545 0.0000
0.1545 0.0000 0.0000
0.8455 0.8455 0.0000
0.0000 0.3811 0.5000
0.3811 0.0000 0.5000
0.6189 0.6189 0.5000

=====

Entry 3:
ThCdIn4 GGA-PBE optimized geometry; volume = 27.381 A^3/atom; E_tot = -3.248 eV/atom
1.0
7.5459 -4.3334 0.0000
7.5459 4.3334 0.0000
-1.0554 0.0000 5.0241
Th Cd In
2 2 8
direct
0.2097 0.2097 0.1346
0.7903 0.7903 0.8654
0.4458 0.4458 0.2344
0.5542 0.5542 0.7656
0.0671 0.6747 0.4108
0.1749 0.8251 0.0000
0.3253 0.9329 0.5892
0.3430 0.3430 0.7081
0.6570 0.6570 0.2919
0.6747 0.0671 0.4108
0.8251 0.1749 0.0000
0.9329 0.3253 0.5892

=====

Entry 4:
Th2Cd3In GGA-PBE optimized geometry; volume = 26.181 A^3/atom; E_tot = -3.599 eV/atom
1.0
0.0000 5.0792 8.8034
3.5132 0.0000 8.8034
3.5132 5.0792 0.0000
Th Cd In
4 6 2
direct
0.2495 0.7505 0.7505
0.2500 0.2500 0.2500
0.7500 0.7500 0.7500
0.7505 0.2495 0.2495
0.1657 0.1657 0.8343
0.1660 0.6684 0.3316
0.3316 0.8340 0.1660
0.6684 0.1660 0.8340
0.8340 0.3316 0.6684
0.8343 0.8343 0.1657
0.3337 0.3337 0.6663
0.6663 0.6663 0.3337

=====

Entry 5:
Th2Cd5In GGA-PBE optimized geometry; volume = 25.669 A^3/atom; E_tot = -2.917 eV/atom
1.0
2.3545 -8.8090 0.0000
2.3545 8.8090 0.0000
0.0000 0.0000 9.9011
Th Cd In
4 10 2
direct
0.0000 0.0000 0.0000
0.0000 0.0000 0.5000
0.1941 0.8059 0.7500
0.8059 0.1941 0.2500
0.1915 0.8085 0.1043
0.1915 0.8085 0.3957
0.3543 0.6457 0.0290
0.3543 0.6457 0.4710
0.3913 0.6087 0.7500
0.6087 0.3913 0.2500
0.6457 0.3543 0.5290
0.6457 0.3543 0.9710
0.8085 0.1915 0.6043
0.8085 0.1915 0.8957
0.4534 0.5466 0.2500
0.5466 0.4534 0.7500

=====

Entry 6:
Th7Cd2In3 GGA-PBE optimized geometry; volume = 32.447 A^3/atom; E_tot = -5.032 eV/atom
1.0
2.8406 -12.0734 0.0000
2.8406 12.0734 0.0000
0.0000 0.0000 5.6766
Th Cd In
7 2 3
direct
0.0000 0.0000 0.0000
0.0805 0.9195 0.5000
0.2865 0.7135 0.0000
0.4230 0.5770 0.0000
0.5770 0.4230 0.0000
0.7135 0.2865 0.0000
0.9195 0.0805 0.5000
0.1506 0.8494 0.0000
0.8494 0.1506 0.0000
0.3464 0.6536 0.5000
0.5000 0.5000 0.5000
0.6536 0.3464 0.5000

=====

Entry 7:
ThCdIn2 GGA-PBE optimized geometry; volume = 26.365 A^3/atom; E_tot = -3.581 eV/atom
1.0
3.7202 0.0000 0.0000
0.0000 3.7202 0.0000
0.0000 0.0000 7.6200
Th Cd In
1 1 2
direct
0.0000 0.0000 0.0000
0.0000 0.0000 0.5000
0.5000 0.5000 0.2815
0.5000 0.5000 0.7185

=====

Entry 8:
Th3CdIn2 GGA-PBE optimized geometry; volume = 28.299 A^3/atom; E_tot = -4.997 eV/atom
1.0
3.4828 0.0000 0.0000
0.0000 3.4828 0.0000
0.0000 0.0000 13.9982
Th Cd In
3 1 2
direct
0.0000 0.0000 0.0000
0.0000 0.0000 0.3336
0.0000 0.0000 0.6664
0.5000 0.5000 0.5000
0.5000 0.5000 0.1670
0.5000 0.5000 0.8330